A plane-wave DFT calculation with PBE-GGA was carried out for an optimized crystal structure of Pr3Nd6Tm.

Values from the calculation:
ΔE_f = 12.81 kJ per mole of atoms
Distance to the lowest polymorph of the same formula = 0 meV per atom

Lattice parameters (Å, degrees): 11.073 19.459 6.545 90.00 90.00 90.00
Space group Cmc2_1 (No. 36)
Symmetry-distinct sites (fractional):
Pr  0.000  0.115  0.000
Pr  0.174  0.384  0.385
Nd  0.000  0.223  0.573
Nd  0.000  0.465  0.787
Nd  0.171  0.043  0.479
Nd  0.233  0.209  0.288
Tm  0.000  0.308  0.035